TlS: relaxed, GGA-PBE.

```
TlS
1.0
-0.756 1.304 -6.441
-4.127 -4.455 2.621
-1.193 5.683 3.168
S Tl
4 4
direct
0.171 0.329 0.500 S
0.329 0.829 0.158 S
0.671 0.171 0.842 S
0.829 0.671 0.500 S
0.750 0.250 0.500 Tl
0.750 0.750 0.000 Tl
0.250 0.250 0.000 Tl
0.250 0.750 0.500 Tl
```

Computed properties:
Its space group is I4/mcm. For the total energy, the calculation gives -27.61 eV/cell. As for the crystal system: tetragonal.

Tm6TlS3: relaxed, GGA-PBE.

```
Tm6TlS3
1.0
3.707 0.000 0.000
0.000 10.866 -2.976
0.000 0.371 11.911
Tm Tl S
12 2 6
direct
0.250 0.467 0.359 Tm
0.250 0.085 0.905 Tm
0.750 0.915 0.095 Tm
0.250 0.179 0.225 Tm
0.250 0.630 0.956 Tm
0.750 0.187 0.471 Tm
0.750 0.699 0.246 Tm
0.750 0.533 0.641 Tm
0.750 0.370 0.044 Tm
0.750 0.821 0.775 Tm
0.250 0.301 0.754 Tm
0.250 0.813 0.529 Tm
0.750 0.050 0.673 Tl
0.250 0.950 0.327 Tl
0.250 0.367 0.551 S
0.750 0.141 0.064 S
0.750 0.467 0.852 S
0.250 0.533 0.148 S
0.250 0.859 0.936 S
0.750 0.633 0.449 S
```

Computed properties:
For the density of states at the Fermi level, the calculation gives 0.6807 states/eV/atom. Its space group is P2_1/m. For the total energy, the calculation gives -106.41 eV/cell. As for the crystal system: monoclinic.

TmTl2S2: relaxed, GGA-PBE.

```
TmTl2S2
1.0
3.823 0.000 0.714
1.863 3.349 0.618
-0.069 -0.152 10.965
S Tl Tm
2 2 1
direct
0.722 0.195 0.360 S
0.278 0.805 0.640 S
0.472 0.199 0.858 Tl
0.528 0.801 0.142 Tl
0.000 0.500 0.500 Tm
```

Computed properties:
For the density of states at the Fermi level, the calculation gives 0.2190 states/eV/atom. Its space group is C2/m. For the total energy, the calculation gives -23.00 eV/cell. As for the crystal system: monoclinic.

Tm2Tl2S: relaxed, GGA-PBE.

```
Tm2Tl2S
1.0
3.620 0.000 0.676
1.753 3.173 0.645
-0.233 -0.033 11.281
Tm Tl S
2 2 1
direct
0.285 0.785 0.645 Tm
0.715 0.215 0.355 Tm
0.544 0.044 0.867 Tl
0.456 0.956 0.133 Tl
0.000 0.500 0.500 S
```

Computed properties:
For the density of states at the Fermi level, the calculation gives 0.4630 states/eV/atom. Its space group is R-3m. For the total energy, the calculation gives -21.92 eV/cell. As for the crystal system: trigonal.